No. 1
## Ba3Ta (PBEsol)

Data for a geometry-optimized Ba3Ta structure.

abc: 3.6533 3.6533 12.8537
angles: 81.83 81.83 60.00
With the nearest neighbours (Å) after each atom.
Positions (direct):
Ba1 0.7355 0.7355 0.7935  3 Ta 3.36, 6 Ba 3.65
Ba2 0.5000 0.5000 0.5000  6 Ba 3.65
Ba3 0.2645 0.2645 0.2065  3 Ta 3.36, 6 Ba 3.65
Ta1 0.0000 0.0000 0.0000  6 Ba 3.36, 6 Ta 3.65

Results
As for the formation energy from the elements: 86.90 kJ per mole of atoms. As for the density of states at the Fermi level: 5.2 states/eV/f.u. The space-group type is R-3m (166). The calculation puts the total magnetic moment at 0.0 μB/f.u.



No. 2
## Ta2HgW (PBEsol)

Data for a geometry-optimized Ta2HgW structure.

abc: 2.8222 4.7187 5.3131
angles: 90.00 96.72 90.00
With the nearest neighbours (Å) after each atom.
Positions (direct):
Hg1 0.3630 0.5000 0.7647  7 Ta 2.78-3.09, 2 Hg 2.82, 2 W 2.85
Ta1 0.9767 0.0000 0.9953  1 W 2.67, 4 Ta 2.82-2.90, 2 Hg 2.93
Ta2 0.7402 0.5000 0.2717  2 W 2.77, 3 Hg 2.78-2.98, 4 Ta 2.82-2.90
W1 0.4202 0.0000 0.4684  3 Ta 2.67-2.77, 2 W 2.82, 2 Hg 2.85

Results
As for the formation energy from the elements: 26.70 kJ per mole of atoms. As for the density of states at the Fermi level: 3.1 states/eV/f.u. The space-group type is Pm (6). The calculation puts the total magnetic moment at 0.0 μB/f.u.



No. 3
## CaLa2Cd (PBEsol)

Data for a geometry-optimized CaLa2Cd structure.

abc: 3.6953 3.6953 9.2837
angles: 90.00 90.00 90.00
With the nearest neighbours (Å) after each atom.
Positions (direct):
Ca1 0.0000 0.0000 0.5426  4 Cd 3.24
La1 0.0000 0.0000 0.9732  4 Cd 3.34, 8 La 3.57-3.70
La2 0.5000 0.5000 0.2348  8 La 3.57-3.70, 4 Ca 3.87
Cd1 0.5000 0.5000 0.7494  4 Ca 3.24, 4 La 3.34

Results
As for the formation energy from the elements: -13.57 kJ per mole of atoms. As for the density of states at the Fermi level: 4.9 states/eV/f.u. The space-group type is P4mm (99). The calculation puts the total magnetic moment at 0.0 μB/f.u.



Among the records above, which one has the highest formation energy from the elements?
Ba3Ta



total magnetic moment of number 2 (Ta2HgW)?
0.0 μB/f.u.



What is the formula in the second record?
Ta2HgW